# DyCrTeO6, optimized geometry, DFT PBE with a Hubbard U
# total magnetic moment = 3.00 μB/f.u.
# E_tot = -7.083 eV per atom
# E above lowest polymorph = 0.000 eV per formula unit
# SG = P-31c
data_DyCrTeO6
_cell_length_a 5.1884
_cell_length_b 5.1884
_cell_length_c 9.8025
_cell_angle_alpha 90.00
_cell_angle_beta 90.00
_cell_angle_gamma 120.00
_symmetry_space_group_name_H-M 'P 1'
_symmetry_Int_Tables_number 1
loop_
_symmetry_equiv_pos_as_xyz
'x,y,z'
loop_
_atom_site_label
_atom_site_fract_x
_atom_site_fract_y
_atom_site_fract_z
Dy1 0.0000 0.0000 0.0000
Dy2 0.0000 0.0000 0.5000
Cr1 0.3333 0.6667 0.2500
Cr2 0.6667 0.3333 0.7500
Te1 0.3333 0.6667 0.7500
Te2 0.6667 0.3333 0.2500
O1 0.0098 0.3648 0.8606
O2 0.0098 0.6450 0.6394
O3 0.3550 0.3648 0.6394
O4 0.3550 0.9902 0.8606
O5 0.3648 0.0098 0.3606
O6 0.3648 0.3550 0.1394
O7 0.6352 0.6450 0.8606
O8 0.6352 0.9902 0.6394
O9 0.6450 0.0098 0.1394
O10 0.6450 0.6352 0.3606
O11 0.9902 0.3550 0.3606
O12 0.9902 0.6352 0.1394